A relaxed structure of SmFe3B4O12. Source: Alexandria, functional PBE+U.

Results
Energy above the lowest structure with this stoichiometry (meV/atom): 576.6
Final energy (eV per atom): -7.058

Structure (extended XYZ):
```
20
Lattice="5.157 2.977 2.148 -5.157 2.977 2.148 0.000 -5.954 2.148" Properties=species:S:1:pos:R:3 pbc="T T T"
Sm 0.000 0.000 0.000
Fe -2.188 -2.164 2.148
Fe -0.780 2.977 2.148
Fe 2.968 -0.813 2.148
B -3.515 0.133 2.148
B 1.642 -3.110 2.148
B 0.000 0.000 3.223
B 1.872 2.977 2.148
O -3.603 -1.073 3.155
O -2.124 -3.678 3.223
O -3.603 1.073 3.290
O -0.688 -1.191 3.223
O 0.873 -3.656 3.290
O -0.688 1.191 3.223
O -2.124 3.678 3.223
O 2.730 -2.584 3.155
O 1.375 0.000 3.223
O 0.873 3.656 3.155
O 4.247 0.000 3.223
O 2.730 2.584 3.290
```